First-principles (PBE) data for an optimized crystal structure of InAgTe2, as listed in Alexandria via LeMat-Bulk.

Lattice parameters (Å, degrees): 4.0489 4.1742 7.6826 90.00 90.00 90.00
Space group Pmmm (No. 47)
Asymmetric unit:
In (0.0000, 0.0000, 0.0000) x1
Ag (0.0000, 0.5000, 0.5000) x1
Te (0.5000, 0.0000, 0.5000) x1
Te (0.5000, 0.5000, 0.0000) x1

Values from the calculation:
M_tot, Bohr magnetons per cell: 0.00
Density of states at the Fermi level, states/eV/f.u.: 0.95
Raw formation energy, eV per atom: 0.075
E, eV per atom: -2.894